The following is a DFT calculation (PBE) of a relaxed structure of Ba2SrBeIr.

Unit cell a=5.701 b=5.701 c=5.615 alpha=90.00 beta=90.00 gamma=90.00
Positions (direct):
Ba 0.000 0.500 0.000
Ba 0.500 0.000 0.000
Sr 0.000 0.000 0.500
Be 0.000 0.000 0.000
Ir 0.500 0.500 0.500

Properties
- Space-group type: P4/mmm (123)
- Total magnetic moment: 0.0 Bohr magnetons per cell
- E_form: 4.152 eV/f.u.
- DFT total energy: -2.792 eV per atom
- DOS(E_F): 3.782 states/eV/cell